TaP3Br GGA-PBE relaxed; symmetry = Pm-3m; uncorrected formation energy = 1.6732 eV per atom
1.0
4.618 0.000 0.000
0.000 4.618 0.000
0.000 0.000 4.618
Ta P Br
1 3 1
Direct
0.500 0.500 0.500
0.000 0.500 0.000
0.000 0.000 0.500
0.500 0.000 0.000
0.000 0.000 0.000

Ta2PBr GGA-PBE relaxed; symmetry = P4mm; uncorrected formation energy = -0.2198 eV per atom
1.0
-2.827 -1.064 1.323
1.149 -3.091 -0.032
2.901 1.006 7.007
P Br Ta
1 1 2
Direct
0.500 0.500 0.859
0.000 0.000 0.454
0.000 0.000 0.977
0.500 0.500 0.210

Ta2PBr GGA-PBE relaxed; symmetry = Cmmm; uncorrected formation energy = 0.1790 eV per atom
1.0
3.176 -0.015 0.000
-1.262 2.915 0.000
0.000 0.000 8.004
Br Ta P
1 2 1
Direct
0.500 0.500 0.250
0.000 0.000 0.545
0.000 0.000 0.955
0.500 0.500 0.750